The following is a PBE calculation of a relaxed Sb2Se crystal, from Alexandria via LeMat-Bulk.

Cell: 11.985 11.985 3.890 Å, 90.00 90.00 161.85°
Sites, in units of the cell vectors:
Sb1 0.444 0.556 0.250
Sb2 0.221 0.779 0.750
Sb3 0.779 0.221 0.250
Sb4 0.556 0.444 0.750
Se1 0.902 0.098 0.750
Se2 0.098 0.902 0.250

Calculated values
energy = -11.51 eV/f.u.